1.
Entry from Alexandria via LeMat-Bulk: a relaxed Tb5Er4Tl4 crystal (PBE). Values from VASP.

Calculated values
Calculated formation energy   -0.2523 eV per atom

```
&SYSTEM
  ibrav = 0, nat = 13, ntyp = 3
/
ATOMIC_SPECIES
Tb 158.93 Tb.upf
Er 167.26 Er.upf
Tl 204.38 Tl.upf
CELL_PARAMETERS angstrom
-0.9774 3.9942 2.9274
2.5268 -2.3217 8.3632
7.4756 5.0819 -0.0861
ATOMIC_POSITIONS crystal
Tb 0.6881 0.9134 0.7104
Tb 0.3119 0.0866 0.2896
Tb 0.0000 0.0000 0.0000
Tb 0.6015 0.7104 0.0866
Tb 0.3985 0.2896 0.9134
Er 0.9046 0.4922 0.6986
Er 0.6032 0.3014 0.4922
Er 0.0954 0.5078 0.3014
Er 0.3968 0.6986 0.5078
Tl 0.7640 0.3381 0.1339
Tl 0.2360 0.6619 0.8661
Tl 0.8979 0.8661 0.3381
Tl 0.1021 0.1339 0.6619
```

2.
Entry from Alexandria via LeMat-Bulk: a relaxed TbEr6Tl6 crystal (PBE). Values from VASP.

Calculated values
Calculated formation energy   -0.1572 eV per atom

```
&SYSTEM
  ibrav = 0, nat = 13, ntyp = 3
/
ATOMIC_SPECIES
Tb 158.93 Tb.upf
Er 167.26 Er.upf
Tl 204.38 Tl.upf
CELL_PARAMETERS angstrom
6.3944 -0.0006 0.0000
-3.1970 5.5379 0.0000
0.0000 0.0000 10.4725
ATOMIC_POSITIONS crystal
Tb 0.0000 0.0000 0.0000
Er 0.0000 0.0000 0.6622
Er 0.0000 0.0000 0.3378
Er 0.3333 0.6667 0.0000
Er 0.6667 0.3333 0.0000
Er 0.3334 0.6666 0.5000
Er 0.6666 0.3334 0.5000
Tl 0.0000 0.5000 0.7540
Tl 0.5000 0.0000 0.7540
Tl 0.5000 0.5000 0.7540
Tl 0.5000 0.0000 0.2460
Tl 0.0000 0.5000 0.2460
Tl 0.5000 0.5000 0.2460
```

3.
Entry from Alexandria via LeMat-Bulk: a relaxed Tb6Er3Tm2Tl crystal (PBE). Values from VASP.

Calculated values
Calculated formation energy   -0.0093 eV per atom

```
&SYSTEM
  ibrav = 0, nat = 12, ntyp = 4
/
ATOMIC_SPECIES
Tb 158.93 Tb.upf
Er 167.26 Er.upf
Tm 168.93 Tm.upf
Tl 204.38 Tl.upf
CELL_PARAMETERS angstrom
-2.0604 1.5380 -5.5194
3.0558 -5.2098 0.7715
-10.1231 -4.1892 3.7393
ATOMIC_POSITIONS crystal
Tb 0.9179 0.5876 0.7523
Tb 0.7521 0.7521 0.2493
Tb 0.0821 0.4124 0.2477
Tb 0.5876 0.9179 0.7523
Tb 0.2479 0.2479 0.7507
Tb 0.4124 0.0821 0.2477
Er 0.1670 0.8330 0.5000
Er 0.8330 0.1670 0.5000
Er 0.5000 0.5000 0.5000
Tm 0.3340 0.6660 0.0000
Tm 0.6660 0.3340 0.0000
Tl 0.0000 0.0000 0.0000
```

4.
Entry from Alexandria via LeMat-Bulk: a relaxed TbErTmTl crystal (PBE). Values from VASP.

Calculated values
Calculated formation energy   -0.0278 eV per atom
Relative energy among the computed polymorphs   143 meV per atom

```
&SYSTEM
  ibrav = 0, nat = 4, ntyp = 4
/
ATOMIC_SPECIES
Tl 204.38 Tl.upf
Tm 168.93 Tm.upf
Tb 158.93 Tb.upf
Er 167.26 Er.upf
CELL_PARAMETERS angstrom
5.4352 0.0000 0.0000
2.7176 4.7070 0.0000
2.7176 1.5690 4.4378
ATOMIC_POSITIONS crystal
Tl 0.0000 0.0000 0.0000
Tm 0.5000 0.5000 0.5000
Tb 0.2500 0.2500 0.2500
Er 0.7500 0.7500 0.7500
```

5.
Entry from Alexandria via LeMat-Bulk: a relaxed TbErTmTl crystal (PBE). Values from VASP.

Calculated values
Calculated formation energy   -0.1710 eV per atom
Relative energy among the computed polymorphs   0 meV per atom

```
&SYSTEM
  ibrav = 0, nat = 4, ntyp = 4
/
ATOMIC_SPECIES
Tb 158.93 Tb.upf
Er 167.26 Er.upf
Tm 168.93 Tm.upf
Tl 204.38 Tl.upf
CELL_PARAMETERS angstrom
4.8326 0.0000 0.0000
0.0000 4.8287 0.0000
0.0000 0.0000 4.8093
ATOMIC_POSITIONS crystal
Tb 0.5000 0.5000 0.0000
Er 0.5000 0.0000 0.5000
Tm 0.0000 0.5000 0.5000
Tl 0.0000 0.0000 0.0000
```

6.
Entry from Alexandria via LeMat-Bulk: a relaxed Tb2ErTmTl2 crystal (PBE). Values from VASP.

Calculated values
Calculated formation energy   -0.2646 eV per atom

```
&SYSTEM
  ibrav = 0, nat = 12, ntyp = 4
/
ATOMIC_SPECIES
Tb 158.93 Tb.upf
Er 167.26 Er.upf
Tm 168.93 Tm.upf
Tl 204.38 Tl.upf
CELL_PARAMETERS angstrom
-4.7108 1.3471 1.3170
-2.5091 -4.0239 -4.8588
-0.3598 -7.5647 6.4507
ATOMIC_POSITIONS crystal
Tb 0.5000 0.0529 0.0415
Tb 0.0000 0.3332 0.1881
Tb 0.5000 0.5529 0.9585
Tb 0.0000 0.8332 0.8119
Er 0.0000 0.9623 0.4588
Er 0.0000 0.4623 0.5412
Tm 0.5000 0.1798 0.6864
Tm 0.5000 0.6798 0.3136
Tl 0.0000 0.2998 0.8620
Tl 0.5000 0.2177 0.3700
Tl 0.0000 0.7998 0.1380
Tl 0.5000 0.7177 0.6300
```

7.
Entry from Alexandria via LeMat-Bulk: a relaxed Tb6Er2Tm3Tl crystal (PBE). Values from VASP.

Calculated values
Calculated formation energy   -0.0113 eV per atom

```
&SYSTEM
  ibrav = 0, nat = 12, ntyp = 4
/
ATOMIC_SPECIES
Tb 158.93 Tb.upf
Er 167.26 Er.upf
Tm 168.93 Tm.upf
Tl 204.38 Tl.upf
CELL_PARAMETERS angstrom
6.0799 -0.0044 0.0059
-3.0423 5.2640 0.0059
-1.0332 -1.7889 11.3954
ATOMIC_POSITIONS crystal
Tb 0.9176 0.5873 0.7511
Tb 0.7525 0.7525 0.2504
Tb 0.0824 0.4127 0.2489
Tb 0.5873 0.9176 0.7511
Tb 0.2475 0.2475 0.7496
Tb 0.4127 0.0824 0.2489
Er 0.3342 0.6658 0.0000
Er 0.6658 0.3342 0.0000
Tm 0.1670 0.8330 0.5000
Tm 0.8330 0.1670 0.5000
Tm 0.5000 0.5000 0.5000
Tl 0.0000 0.0000 0.0000
```

8.
Entry from Alexandria via LeMat-Bulk: a relaxed Tb2YErTl2 crystal (PBE). Values from VASP.

Calculated values
Calculated formation energy   -0.2785 eV per atom

```
&SYSTEM
  ibrav = 0, nat = 12, ntyp = 4
/
ATOMIC_SPECIES
Tb 158.93 Tb.upf
Y 88.91 Y.upf
Er 167.26 Er.upf
Tl 204.38 Tl.upf
CELL_PARAMETERS angstrom
5.0843 0.0000 0.0000
0.0000 6.8644 0.0000
0.0000 0.0000 9.9563
ATOMIC_POSITIONS crystal
Tb 0.5000 0.0548 0.0447
Tb 0.0000 0.3372 0.1873
Tb 0.5000 0.5548 0.9553
Tb 0.0000 0.8372 0.8127
Y 0.0000 0.9598 0.4554
Y 0.0000 0.4598 0.5446
Er 0.5000 0.1758 0.6885
Er 0.5000 0.6758 0.3115
Tl 0.0000 0.2992 0.8648
Tl 0.5000 0.2188 0.3705
Tl 0.0000 0.7992 0.1352
Tl 0.5000 0.7188 0.6295
```

9.
Entry from Alexandria via LeMat-Bulk: a relaxed Tb6Y2Er3Tl crystal (PBE). Values from VASP.

Calculated values
Calculated formation energy   -0.0157 eV per atom

```
&SYSTEM
  ibrav = 0, nat = 12, ntyp = 4
/
ATOMIC_SPECIES
Tb 158.93 Tb.upf
Y 88.91 Y.upf
Er 167.26 Er.upf
Tl 204.38 Tl.upf
CELL_PARAMETERS angstrom
6.0923 -0.0044 0.0000
-3.0485 5.2748 0.0000
-1.0247 -1.7742 11.4859
ATOMIC_POSITIONS crystal
Tb 0.9171 0.5879 0.7502
Tb 0.7537 0.7537 0.2516
Tb 0.0829 0.4121 0.2498
Tb 0.5879 0.9171 0.7502
Tb 0.2463 0.2463 0.7484
Tb 0.4121 0.0829 0.2498
Y 0.3342 0.6658 0.0000
Y 0.6658 0.3342 0.0000
Er 0.1671 0.8329 0.5000
Er 0.8329 0.1671 0.5000
Er 0.5000 0.5000 0.5000
Tl 0.0000 0.0000 0.0000
```

10.
Entry from Alexandria via LeMat-Bulk: a relaxed Tb2ErTl2Zn2 crystal (PBE). Values from VASP.

Calculated values
Calculated formation energy   -0.1471 eV per atom

```
&SYSTEM
  ibrav = 0, nat = 7, ntyp = 4
/
ATOMIC_SPECIES
Tb 158.93 Tb.upf
Er 167.26 Er.upf
Tl 204.38 Tl.upf
Zn 65.41 Zn.upf
CELL_PARAMETERS angstrom
4.7295 0.0000 0.0000
2.3648 4.0959 0.0000
2.3648 1.3653 9.1460
ATOMIC_POSITIONS crystal
Tb 0.1262 0.1262 0.6213
Tb 0.8738 0.8738 0.3787
Er 0.0000 0.0000 0.0000
Tl 0.7375 0.7375 0.7874
Tl 0.2625 0.2625 0.2126
Zn 0.6100 0.6100 0.1701
Zn 0.3900 0.3900 0.8299
```

11.
Entry from Alexandria via LeMat-Bulk: a relaxed TbEr2Tl2Zn2 crystal (PBE). Values from VASP.

Calculated values
Calculated formation energy   -0.1398 eV per atom

```
&SYSTEM
  ibrav = 0, nat = 7, ntyp = 4
/
ATOMIC_SPECIES
Tb 158.93 Tb.upf
Er 167.26 Er.upf
Tl 204.38 Tl.upf
Zn 65.41 Zn.upf
CELL_PARAMETERS angstrom
4.7558 0.0000 0.0000
2.3779 4.1187 0.0000
2.3779 1.3729 8.8803
ATOMIC_POSITIONS crystal
Tb 0.0000 0.0000 0.0000
Er 0.1299 0.1299 0.6104
Er 0.8701 0.8701 0.3896
Tl 0.7334 0.7334 0.7997
Tl 0.2666 0.2666 0.2003
Zn 0.5796 0.5796 0.2612
Zn 0.4204 0.4204 0.7388
```

One value per record, in order, for volume: 380.3; 370.8; 365.6; 113.5; 112.2; 342.7; 364.7; 347.5; 369.0; 177.2; 173.9 Å³/cell.